Entry 1:
Below is an optimized crystal structure of Na2GeBr4, with properties calculated at the PBE level.

Values from the calculation:
Crystal system ... tetragonal
Energy relative to the lowest polymorph listed for this composition ... 0.0727 eV per atom
Density of states at the Fermi level ... 0.0 states/eV/cell
Space-group type ... No. 121

a b c (Å): 7.026 7.026 11.410
angles (deg): 90.00 90.00 90.00
Atoms (fractional coordinates):
1 Na 0.000 0.500 0.250
2 Na 0.000 0.500 0.750
3 Na 0.500 0.000 0.250
4 Na 0.500 0.000 0.750
5 Ge 0.000 0.000 0.000
6 Ge 0.500 0.500 0.500
7 Br 0.233 0.233 0.122
8 Br 0.233 0.767 0.878
9 Br 0.267 0.267 0.622
10 Br 0.267 0.733 0.378
11 Br 0.733 0.267 0.378
12 Br 0.733 0.733 0.622
13 Br 0.767 0.233 0.878
14 Br 0.767 0.767 0.122

Entry 2:
Below is an optimized crystal structure of NaGeBr6, with properties calculated at the PBE level.

Values from the calculation:
Crystal system ... monoclinic
Space-group type ... No. 12

a b c (Å): 6.845 12.554 7.263
angles (deg): 90.00 110.88 90.00
Atoms (fractional coordinates):
1 Na 0.000 0.000 0.000
2 Na 0.500 0.500 0.000
3 Ge 0.000 0.500 0.500
4 Ge 0.500 0.000 0.500
5 Br 0.180 0.359 0.739
6 Br 0.180 0.641 0.739
7 Br 0.206 0.000 0.653
8 Br 0.294 0.500 0.347
9 Br 0.320 0.141 0.261
10 Br 0.320 0.859 0.261
11 Br 0.680 0.141 0.739
12 Br 0.680 0.859 0.739
13 Br 0.706 0.500 0.653
14 Br 0.794 0.000 0.347
15 Br 0.820 0.359 0.261
16 Br 0.820 0.641 0.261

Entry 3:
Below is an optimized crystal structure of Na2GeBr4, with properties calculated at the PBE level.

Values from the calculation:
Crystal system ... tetragonal
Energy relative to the lowest polymorph listed for this composition ... 0.0000 eV per atom
Density of states at the Fermi level ... 0.0 states/eV/cell
Space-group type ... No. 91

a b c (Å): 8.625 8.625 12.213
angles (deg): 90.00 90.00 90.00
Atoms (fractional coordinates):
1 Na 0.000 0.257 0.000
2 Na 0.000 0.743 0.500
3 Na 0.249 0.249 0.375
4 Na 0.249 0.751 0.125
5 Na 0.257 0.000 0.750
6 Na 0.743 0.000 0.250
7 Na 0.751 0.249 0.625
8 Na 0.751 0.751 0.875
9 Ge 0.245 0.500 0.750
10 Ge 0.500 0.245 0.000
11 Ge 0.500 0.755 0.500
12 Ge 0.755 0.500 0.250
13 Br 0.030 0.265 0.753
14 Br 0.030 0.735 0.747
15 Br 0.256 0.489 0.983
16 Br 0.256 0.511 0.517
17 Br 0.265 0.030 0.997
18 Br 0.265 0.970 0.503
19 Br 0.489 0.256 0.767
20 Br 0.489 0.744 0.733
21 Br 0.511 0.256 0.233
22 Br 0.511 0.744 0.267
23 Br 0.735 0.030 0.003
24 Br 0.735 0.970 0.497
25 Br 0.744 0.489 0.017
26 Br 0.744 0.511 0.483
27 Br 0.970 0.265 0.247
28 Br 0.970 0.735 0.253

Entry 4:
Below is an optimized crystal structure of NaGeBr4, with properties calculated at the PBE level.

Values from the calculation:
Crystal system ... monoclinic
Density of states at the Fermi level ... 2.4 states/eV/cell
Space-group type ... No. 12

a b c (Å): 8.220 8.220 12.613
angles (deg): 108.04 108.04 34.05
Atoms (fractional coordinates):
1 Na 0.246 0.246 0.380
2 Na 0.754 0.754 0.620
3 Ge 0.030 0.030 0.739
4 Ge 0.970 0.970 0.261
5 Br 0.085 0.085 0.173
6 Br 0.159 0.159 0.551
7 Br 0.166 0.166 0.890
8 Br 0.483 0.483 0.338
9 Br 0.517 0.517 0.662
10 Br 0.834 0.834 0.110
11 Br 0.841 0.841 0.449
12 Br 0.915 0.915 0.827

Entry 5:
Below is an optimized crystal structure of NaGeBr5, with properties calculated at the PBE level.

Values from the calculation:
Crystal system ... triclinic
Density of states at the Fermi level ... 0.0 states/eV/cell
Space-group type ... No. 2

a b c (Å): 8.994 9.005 9.538
angles (deg): 116.70 116.76 91.04
Atoms (fractional coordinates):
1 Na 0.000 0.000 0.000
2 Na 0.000 0.000 0.500
3 Ge 0.369 0.632 0.250
4 Ge 0.631 0.368 0.750
5 Br 0.107 0.895 0.751
6 Br 0.245 0.711 0.432
7 Br 0.278 0.332 0.057
8 Br 0.289 0.756 0.069
9 Br 0.331 0.278 0.557
10 Br 0.669 0.722 0.443
11 Br 0.711 0.244 0.931
12 Br 0.722 0.668 0.943
13 Br 0.755 0.289 0.568
14 Br 0.893 0.105 0.249

Entry 6:
Below is an optimized crystal structure of Na2Ge3Br8, with properties calculated at the PBE level.

Values from the calculation:
Crystal system ... monoclinic
Density of states at the Fermi level ... 0.0 states/eV/cell
Space-group type ... No. 12

a b c (Å): 8.532 8.532 7.067
angles (deg): 104.83 104.83 57.63
Atoms (fractional coordinates):
1 Na 0.237 0.237 0.151
2 Na 0.763 0.763 0.849
3 Ge 0.241 0.759 0.500
4 Ge 0.500 0.500 0.000
5 Ge 0.759 0.241 0.500
6 Br 0.113 0.113 0.424
7 Br 0.147 0.622 0.103
8 Br 0.378 0.853 0.897
9 Br 0.386 0.386 0.600
10 Br 0.614 0.614 0.400
11 Br 0.622 0.147 0.103
12 Br 0.853 0.378 0.897
13 Br 0.887 0.887 0.576

Entry 7:
Below is an optimized crystal structure of Na2NiGeBr, with properties calculated at the PBE level.

Values from the calculation:
Crystal system ... tetragonal
Density of states at the Fermi level ... 4.5 states/eV/cell
Space-group type ... No. 123

a b c (Å): 5.168 5.168 5.544
angles (deg): 90.00 90.00 90.00
Atoms (fractional coordinates):
1 Na 0.000 0.500 0.000
2 Na 0.500 0.000 0.000
3 Ni 0.000 0.000 0.500
4 Ge 0.500 0.500 0.500
5 Br 0.500 0.500 0.000

Entry 8:
Below is an optimized crystal structure of NaGeBrO5, with properties calculated at the PBE level.

Values from the calculation:
Crystal system ... monoclinic
Space-group type ... No. 15

a b c (Å): 5.563 5.563 6.852
angles (deg): 97.31 97.31 108.39
Atoms (fractional coordinates):
1 Na 0.173 0.827 0.750
2 Na 0.827 0.173 0.250
3 Ge 0.500 0.500 0.000
4 Ge 0.500 0.500 0.500
5 Br 0.156 0.844 0.250
6 Br 0.844 0.156 0.750
7 O 0.161 0.616 0.393
8 O 0.162 0.288 0.988
9 O 0.288 0.162 0.488
10 O 0.384 0.839 0.107
11 O 0.425 0.575 0.750
12 O 0.575 0.425 0.250
13 O 0.616 0.161 0.893
14 O 0.712 0.838 0.512
15 O 0.838 0.712 0.012
16 O 0.839 0.384 0.607

Entry 9:
Below is an optimized crystal structure of NaGePbBr6, with properties calculated at the PBE level.

Values from the calculation:
Crystal system ... tetragonal
Density of states at the Fermi level ... 9.6 states/eV/cell
Space-group type ... No. 102

a b c (Å): 6.851 6.851 12.960
angles (deg): 90.00 90.00 90.00
Atoms (fractional coordinates):
1 Na 0.000 0.000 0.000
2 Na 0.500 0.500 0.500
3 Ge 0.000 0.000 0.334
4 Ge 0.500 0.500 0.834
5 Pb 0.000 0.000 0.670
6 Pb 0.500 0.500 0.170
7 Br 0.189 0.189 0.182
8 Br 0.189 0.189 0.484
9 Br 0.222 0.222 0.834
10 Br 0.278 0.722 0.334
11 Br 0.311 0.689 0.682
12 Br 0.311 0.689 0.984
13 Br 0.689 0.311 0.682
14 Br 0.689 0.311 0.984
15 Br 0.722 0.278 0.334
16 Br 0.778 0.778 0.834
17 Br 0.811 0.811 0.182
18 Br 0.811 0.811 0.484

Entry 10:
Below is an optimized crystal structure of Rb4NaGe3Br12, with properties calculated at the PBE level.

Values from the calculation:
Crystal system ... cubic
Density of states at the Fermi level ... 4.1 states/eV/cell
Space-group type ... No. 229

a b c (Å): 9.597 9.597 9.597
angles (deg): 109.47 109.47 109.47
Atoms (fractional coordinates):
1 Rb 0.000 0.000 0.500
2 Rb 0.000 0.500 0.000
3 Rb 0.500 0.000 0.000
4 Rb 0.500 0.500 0.500
5 Na 0.000 0.000 0.000
6 Ge 0.000 0.500 0.500
7 Ge 0.500 0.000 0.500
8 Ge 0.500 0.500 0.000
9 Br 0.000 0.259 0.259
10 Br 0.000 0.741 0.741
11 Br 0.250 0.500 0.750
12 Br 0.250 0.750 0.500
13 Br 0.259 0.000 0.259
14 Br 0.259 0.259 0.000
15 Br 0.500 0.250 0.750
16 Br 0.500 0.750 0.250
17 Br 0.741 0.000 0.741
18 Br 0.741 0.741 0.000
19 Br 0.750 0.250 0.500
20 Br 0.750 0.500 0.250

Entry 11:
Below is an optimized crystal structure of Rb3NaGe2Br9, with properties calculated at the PBE level.

Values from the calculation:
Crystal system ... trigonal
Density of states at the Fermi level ... 4.8 states/eV/cell
Space-group type ... No. 164

a b c (Å): 7.864 7.864 9.621
angles (deg): 90.00 90.00 120.00
Atoms (fractional coordinates):
1 Rb 0.000 0.000 0.000
2 Rb 0.333 0.667 0.667
3 Rb 0.667 0.333 0.333
4 Na 0.000 0.000 0.500
5 Ge 0.333 0.667 0.168
6 Ge 0.667 0.333 0.832
7 Br 0.000 0.500 0.000
8 Br 0.175 0.349 0.325
9 Br 0.175 0.825 0.325
10 Br 0.349 0.175 0.675
11 Br 0.500 0.000 0.000
12 Br 0.500 0.500 0.000
13 Br 0.651 0.825 0.325
14 Br 0.825 0.175 0.675
15 Br 0.825 0.651 0.675

Entry 12:
Below is an optimized crystal structure of RbNa2Ge2Br7, with properties calculated at the PBE level.

Values from the calculation:
Crystal system ... orthorhombic
Space-group type ... No. 44

a b c (Å): 12.290 12.290 12.290
angles (deg): 153.08 39.30 151.90
Atoms (fractional coordinates):
1 Rb 0.000 0.000 0.000
2 Na 0.293 0.544 0.749
3 Na 0.794 0.544 0.251
4 Ge 0.401 0.019 0.382
5 Ge 0.637 0.019 0.618
6 Br 0.209 0.595 0.614
7 Br 0.301 0.043 0.259
8 Br 0.438 0.557 0.881
9 Br 0.586 0.086 0.500
10 Br 0.676 0.557 0.119
11 Br 0.784 0.043 0.741
12 Br 0.980 0.595 0.386

Entry 13:
Below is an optimized crystal structure of Rb2NaGe2Br7, with properties calculated at the PBE level.

Values from the calculation:
Crystal system ... monoclinic
Space-group type ... No. 12

a b c (Å): 5.556 5.556 14.590
angles (deg): 100.61 100.61 89.29
Atoms (fractional coordinates):
1 Rb 0.171 0.171 0.359
2 Rb 0.829 0.829 0.641
3 Na 0.000 0.000 0.000
4 Ge 0.391 0.391 0.801
5 Ge 0.609 0.609 0.199
6 Br 0.080 0.585 0.188
7 Br 0.297 0.297 0.604
8 Br 0.415 0.920 0.812
9 Br 0.500 0.500 0.000
10 Br 0.585 0.080 0.188
11 Br 0.703 0.703 0.396
12 Br 0.920 0.415 0.812

Entry 14:
Below is an optimized crystal structure of RbNaGe2Br6, with properties calculated at the PBE level.

Values from the calculation:
Crystal system ... monoclinic
Density of states at the Fermi level ... 0.0 states/eV/cell
Space-group type ... No. 15

a b c (Å): 9.904 9.904 10.529
angles (deg): 108.13 108.13 105.56
Atoms (fractional coordinates):
1 Rb 0.092 0.908 0.750
2 Rb 0.908 0.092 0.250
3 Na 0.227 0.773 0.250
4 Na 0.773 0.227 0.750
5 Ge 0.271 0.430 0.810
6 Ge 0.430 0.271 0.310
7 Ge 0.570 0.729 0.690
8 Ge 0.729 0.570 0.190
9 Br 0.007 0.195 0.638
10 Br 0.153 0.601 0.930
11 Br 0.195 0.007 0.138
12 Br 0.317 0.347 0.491
13 Br 0.347 0.317 0.991
14 Br 0.399 0.847 0.570
15 Br 0.601 0.153 0.430
16 Br 0.653 0.683 0.009
17 Br 0.683 0.653 0.509
18 Br 0.805 0.993 0.862
19 Br 0.847 0.399 0.070
20 Br 0.993 0.805 0.362

Entry 15:
Below is an optimized crystal structure of RbNaGeBr4, with properties calculated at the PBE level.

Values from the calculation:
Crystal system ... monoclinic
Density of states at the Fermi level ... 0.0 states/eV/cell
Space-group type ... No. 11

a b c (Å): 7.985 7.630 10.504
angles (deg): 90.00 110.01 90.00
Atoms (fractional coordinates):
1 Rb 0.131 0.250 0.170
2 Rb 0.869 0.750 0.830
3 Na 0.296 0.750 0.440
4 Na 0.704 0.250 0.560
5 Ge 0.277 0.250 0.713
6 Ge 0.723 0.750 0.287
7 Br 0.032 0.750 0.169
8 Br 0.051 0.250 0.477
9 Br 0.475 0.504 0.676
10 Br 0.475 0.996 0.676
11 Br 0.525 0.004 0.324
12 Br 0.525 0.496 0.324
13 Br 0.949 0.750 0.523
14 Br 0.968 0.250 0.831

Entry 16:
Below is an optimized crystal structure of NaRe2GeBr, with properties calculated at the PBE level.

Values from the calculation:
Crystal system ... tetragonal
Density of states at the Fermi level ... 5.5 states/eV/cell
Space-group type ... No. 123

a b c (Å): 4.623 4.623 4.997
angles (deg): 90.00 90.00 90.00
Atoms (fractional coordinates):
1 Na 0.000 0.000 0.000
2 Re 0.000 0.500 0.500
3 Re 0.500 0.000 0.500
4 Ge 0.500 0.500 0.000
5 Br 0.000 0.000 0.500

Entry 17:
Below is an optimized crystal structure of NaSi2GeBr, with properties calculated at the PBE level.

Values from the calculation:
Crystal system ... tetragonal
Density of states at the Fermi level ... 2.7 states/eV/cell
Space-group type ... No. 123

a b c (Å): 5.111 5.111 5.175
angles (deg): 90.00 90.00 90.00
Atoms (fractional coordinates):
1 Na 0.000 0.000 0.000
2 Si 0.000 0.500 0.000
3 Si 0.500 0.000 0.000
4 Ge 0.500 0.500 0.500
5 Br 0.000 0.000 0.500

Entry 18:
Below is an optimized crystal structure of NaSmGe2Br8, with properties calculated at the PBE level.

Values from the calculation:
Crystal system ... triclinic
Density of states at the Fermi level ... 0.0 states/eV/cell
Space-group type ... No. 2

a b c (Å): 6.652 7.057 8.616
angles (deg): 88.53 89.03 87.95
Atoms (fractional coordinates):
1 Na 0.000 0.000 0.000
2 Sm 0.000 0.000 0.500
3 Ge 0.474 0.475 0.240
4 Ge 0.526 0.525 0.760
5 Br 0.230 0.822 0.257
6 Br 0.252 0.327 0.479
7 Br 0.252 0.847 0.744
8 Br 0.276 0.348 0.019
9 Br 0.724 0.652 0.981
10 Br 0.748 0.153 0.256
11 Br 0.748 0.673 0.521
12 Br 0.770 0.178 0.743

Entry 19:
Below is an optimized crystal structure of NaSn2GeBr, with properties calculated at the PBE level.

Values from the calculation:
Crystal system ... tetragonal
Density of states at the Fermi level ... 1.4 states/eV/cell
Space-group type ... No. 123

a b c (Å): 5.677 5.677 5.096
angles (deg): 90.00 90.00 90.00
Atoms (fractional coordinates):
1 Na 0.000 0.000 0.000
2 Sn 0.000 0.500 0.500
3 Sn 0.500 0.000 0.500
4 Ge 0.500 0.500 0.000
5 Br 0.000 0.000 0.500

Entry 20:
Below is an optimized crystal structure of NaSnGeBr6, with properties calculated at the PBE level.

Values from the calculation:
Crystal system ... tetragonal
Density of states at the Fermi level ... 7.4 states/eV/cell
Space-group type ... No. 102

a b c (Å): 6.801 6.801 12.758
angles (deg): 90.00 90.00 90.00
Atoms (fractional coordinates):
1 Na 0.000 0.000 0.000
2 Na 0.500 0.500 0.500
3 Sn 0.000 0.000 0.669
4 Sn 0.500 0.500 0.169
5 Ge 0.000 0.000 0.333
6 Ge 0.500 0.500 0.833
7 Br 0.189 0.189 0.498
8 Br 0.205 0.205 0.176
9 Br 0.210 0.210 0.825
10 Br 0.290 0.710 0.325
11 Br 0.295 0.705 0.676
12 Br 0.311 0.689 0.998
13 Br 0.689 0.311 0.998
14 Br 0.705 0.295 0.676
15 Br 0.710 0.290 0.325
16 Br 0.790 0.790 0.825
17 Br 0.795 0.795 0.176
18 Br 0.811 0.811 0.498

E_form (uncorrected)
In order: -1.046, -0.541, -1.119, -0.791, -0.801, -0.852, 0.474, -0.638, -0.799, -1.118, -1.148, -1.095, -1.078, -0.979, -1.139, 1.817, 1.176, -1.135, 0.350, -0.782
Unit: eV/atom